# 1
A relaxed CaDyNi4 crystal. Source: Alexandria, functional PBE-GGA.

Cell: 5.0697 5.0697 5.0697 Å, 60.00 60.00 60.00°
Fractional positions:
Ni (0.6249, 0.6249, 0.6249)
Dy (0.2500, 0.2500, 0.2500)
Ca (0.0000, 0.0000, 0.0000)
Ni (0.6249, 0.6249, 0.1254)
Ni (0.6249, 0.1254, 0.6249)
Ni (0.1254, 0.6249, 0.6249)

E_form (eV/atom): -0.320

***

# 2
A relaxed InSi2Pt crystal. Source: Alexandria, functional PBE-GGA.

Cell: 4.1177 4.6721 4.2993 Å, 75.48 90.00 90.00°
Fractional positions:
Si (0.0000, 0.9926, 0.8391)
Si (0.0000, 0.5074, 0.6609)
Pt (0.5000, 0.7500, 0.7500)
In (0.5000, 0.2500, 0.2500)

Formation energy from raw total energies (eV per atom): -0.139

***

# 3
A relaxed HPdF crystal. Source: Alexandria, functional PBE-GGA.

Cell: 5.6568 7.6377 2.8743 Å, 90.00 90.00 90.00°
Fractional positions:
Pd (0.5447, 0.7500, 0.0000)
F (0.5000, 0.0000, 0.5000)
Pd (0.9553, 0.2500, 0.5000)
F (0.0000, 0.5000, 0.0000)
H (0.2595, 0.2500, 0.5000)
Pd (0.0447, 0.7500, 0.5000)
H (0.2405, 0.7500, 0.0000)
H (0.7595, 0.2500, 0.0000)
F (0.5000, 0.5000, 0.5000)
F (0.0000, 0.0000, 0.0000)
Pd (0.4553, 0.2500, 0.0000)
H (0.7405, 0.7500, 0.5000)

Total DFT energy (no corrections) (eV per atom): -3.83

***

# 4
A relaxed HPdSe2 crystal. Source: Alexandria, functional PBE-GGA.

Cell: 7.9953 7.9953 7.9953 Å, 21.67 21.67 21.67°
Fractional positions:
Se (0.1036, 0.1036, 0.1036)
H (0.5000, 0.5000, 0.5000)
Pd (0.0000, 0.0000, 0.0000)
Se (0.8964, 0.8964, 0.8964)

Total DFT energy (no corrections) (eV per atom): -3.38

***

# 5
A relaxed PmTmGePb crystal. Source: Alexandria, functional PBE-GGA.

Cell: 5.3069 5.3069 5.3069 Å, 60.00 60.00 60.00°
Fractional positions:
Pb (0.7500, 0.7500, 0.7500)
Tm (0.0000, 0.0000, 0.0000)
Ge (0.2500, 0.2500, 0.2500)
Pm (0.5000, 0.5000, 0.5000)

E_form (eV/atom): -0.417

***

# 6
A relaxed Ac8Nd3Y crystal. Source: Alexandria, functional PBE-GGA.

Cell: 9.3514 9.3515 9.3589 Å, 96.66 134.19 100.74°
Fractional positions:
Ac (0.1026, 0.9057, 0.6992)
Ac (0.8974, 0.0943, 0.3009)
Y (0.0000, 0.0000, 0.0000)
Nd (0.4529, 0.7532, 0.2061)
Ac (0.0000, 0.2781, 0.7789)
Nd (0.5471, 0.2468, 0.7939)
Ac (0.5009, 0.7789, 0.7789)
Nd (0.0000, 0.5000, 0.5000)
Ac (0.4992, 0.2211, 0.2211)
Ac (0.7934, 0.5965, 0.6991)
Ac (0.2065, 0.4034, 0.3008)
Ac (0.0000, 0.7219, 0.2211)

E_form (eV/atom): 0.339